First-principles (PBE) data for crystalline NaLaGd at its relaxed geometry, as listed in OQMD via LeMat-Bulk.

a = 5.4326 Å, b = 5.4326 Å, c = 5.4326 Å
α = 60.00°, β = 60.00°, γ = 60.00°
Fractional coordinates of all 3 atoms:
Na 0.0000 0.0000 0.0000
La 0.2500 0.2500 0.2500
Gd 0.7500 0.7500 0.7500

Output
Crystal system: cubic
DFT total energy, eV per atom: -2.8924
Calculated density, g/cm³: 4.7